No. 1
The following is a PBE calculation of a geometry-optimized UCuCl6 structure, from the Alexandria database.

Cell: 6.5955 6.5972 6.9644 Å, 90.06 118.21 119.94°
With the nearest neighbours (Å) after each atom.
Fractional coordinates of all 8 atoms:
U  0.0000  0.0000  0.0000  6 Cl 2.55-2.56
Cu  0.0000  0.5000  0.5000  6 Cl 2.50-2.51
Cl  0.1220  0.2514  0.7468  1 Cu 2.51, 1 U 2.55
Cl  0.1232  0.3751  0.2534  1 Cu 2.50, 1 U 2.56
Cl  0.4956  0.8706  0.7468  1 Cu 2.51, 1 U 2.55
Cl  0.5044  0.1294  0.2532  1 Cu 2.51, 1 U 2.55
Cl  0.8768  0.6249  0.7466  1 Cu 2.50, 1 U 2.56
Cl  0.8780  0.7486  0.2532  1 Cu 2.51, 1 U 2.55

Summary:
The uncorrected energy is -0.1698 hartree per atom. For the formation energy from raw total energies, the calculation gives -1.313 eV per atom. As for the relative energy among the computed polymorphs: 13 meV/atom. As for the total magnetization: 0.12 μB/atom.

No. 2
The following is a PBE calculation of a geometry-optimized U2CuCl8 structure, from the Alexandria database.

Cell: 7.8533 7.8533 8.0978 Å, 118.27 118.27 62.61°
With the nearest neighbours (Å) after each atom.
Fractional coordinates of all 11 atoms:
U  0.0968  0.0968  0.0198  1 U 2.44, 6 Cl 2.51-2.72
U  0.9032  0.9032  0.9802  1 U 2.44, 6 Cl 2.51-2.72
Cu  0.0000  0.0000  0.5000  2 Cl 2.15
Cl  0.1437  0.7152  0.7517  2 U 2.71-2.72
Cl  0.1736  0.1736  0.7728  1 Cu 2.15
Cl  0.2848  0.8563  0.2483  2 U 2.71-2.72
Cl  0.3186  0.3186  0.2711  1 U 2.51
Cl  0.6814  0.6814  0.7289  1 U 2.51
Cl  0.7152  0.1437  0.7517  2 U 2.71-2.72
Cl  0.8264  0.8264  0.2272  1 Cu 2.15
Cl  0.8563  0.2848  0.2483  2 U 2.71-2.72

Summary:
The uncorrected energy is -0.1869 hartree per atom. For the formation energy from raw total energies, the calculation gives -1.319 eV per atom. As for the total magnetization: 0.10 μB/atom.

No. 3
The following is a PBE calculation of a geometry-optimized UCuCl2 structure, from the Alexandria database.

Cell: 8.7139 8.7139 8.7139 Å, 22.48 22.48 22.48°
With the nearest neighbours (Å) after each atom.
Fractional coordinates of all 4 atoms:
U  0.0000  0.0000  0.0000  2 Cl 2.72
Cu  0.5000  0.5000  0.5000  6 Cl 2.49
Cl  0.1067  0.1067  0.1067  3 Cu 2.49, 1 U 2.72
Cl  0.8933  0.8933  0.8933  3 Cu 2.49, 1 U 2.72

Summary:
The uncorrected energy is -0.1866 hartree per atom. For the formation energy from raw total energies, the calculation gives -0.309 eV per atom. As for the total magnetization: 0.87 μB/atom.

No. 4
The following is a PBE calculation of a geometry-optimized VCu2Cl structure, from the Alexandria database.

Cell: 5.6242 5.6242 5.6242 Å, 100.45 100.45 129.59°
With the nearest neighbours (Å) after each atom.
Fractional coordinates of all 8 atoms:
V  0.0000  0.0000  0.0000  2 Cl 2.40
V  0.7500  0.2500  0.5000  2 Cl 2.40
Cu  0.1424  0.1250  0.5174  2 Cu 2.41, 2 Cl 2.53
Cu  0.3750  0.8576  0.9826  2 Cu 2.41, 2 Cl 2.53
Cu  0.6076  0.6250  0.4826  2 Cu 2.41, 2 Cl 2.53
Cu  0.8750  0.3924  0.0174  2 Cu 2.41, 2 Cl 2.53
Cl  0.2500  0.7500  0.5000  2 V 2.40, 4 Cu 2.53
Cl  0.5000  0.5000  0.0000  2 V 2.40, 4 Cu 2.53

Summary:
The uncorrected energy is -0.1607 hartree per atom. For the formation energy from raw total energies, the calculation gives 0.415 eV per atom. As for the relative energy among the computed polymorphs: 0 meV/atom. As for the total magnetization: 0.55 μB/atom.